[1]
A relaxed Li2CuAsH crystal, computed with GGA-PBE.

It has space group P4/mmm (No. 123), with a = 3.921 Å, b = 3.921 Å, c = 3.687 Å, α = 90.00°, β = 90.00° and γ = 90.00°. The asymmetric unit holds Li at (0.000, 0.500, 0.000), Cu at (0.000, 0.000, 0.500), As at (0.500, 0.500, 0.500) and H at (0.000, 0.000, 0.000).

The calculation puts the total moment at 0.0 μB per formula unit.

[2]
A relaxed TbZrFeRh crystal, computed with GGA-PBE.

It has space group F-43m (No. 216), with a = 6.635 Å, b = 6.635 Å, c = 6.635 Å, α = 90.00°, β = 90.00° and γ = 90.00°. The asymmetric unit holds Tb at (0.000, 0.000, 0.000), Zr at (0.000, 0.000, 0.500), Fe at (0.250, 0.250, 0.750) and Rh at (0.250, 0.250, 0.250).

As for the formation energy: -0.3436 eV/atom. The calculation puts the total moment at 0.4 μB per formula unit.

[3]
A relaxed NdDyEr2Au4 crystal, computed with GGA-PBE.

It has space group R-3m (No. 166, hexagonal axes), with a = 5.0931 Å, b = 5.0931 Å, c = 25.3107 Å, α = 90.00°, β = 90.00° and γ = 120.00°. The asymmetric unit holds Nd at (0.0000, 0.0000, 0.0000), Dy at (0.0000, 0.0000, 0.5000), Er at (0.0000, 0.0000, 0.2489), Au at (0.0000, 0.0000, 0.1278) and Au at (0.0000, 0.0000, 0.3802).

As for the formation energy: -0.8396 eV/atom. The calculation puts the total moment at 0.0 μB per formula unit.

[4]
A relaxed LiScN2O crystal, computed with GGA-PBE.

It has space group P4/mmm (No. 123), with a = 3.461 Å, b = 3.461 Å, c = 3.859 Å, α = 90.00°, β = 90.00° and γ = 90.00°. The asymmetric unit holds Li at (0.000, 0.000, 0.000), Sc at (0.500, 0.500, 0.500), N at (0.000, 0.500, 0.000) and O at (0.000, 0.000, 0.500).

The calculation puts the total moment at 1.0 μB per formula unit. The calculation puts the formation energy (no corrections) at 114 meV per atom.

| no. | uncorrected energy (eV/atom) |
| --- | --- |
| 1 | -3.51 |
| 2 | -7.59 |
| 3 | -4.79 |
| 4 | -5.86 |